The following is a PBE calculation of a relaxed Pm4SiSn2 crystal, from the Alexandria database.

Computed properties:
**DOS(E_F)**: 5.09 states/eV per cell
**Total energy**: -4.940 eV per atom
**Formation energy from raw total energies**: -307 meV/atom

Cell lengths 7.040, 3.812, 9.051 Å; angles 90.00, 111.27, 90.00 degrees
Atoms (fractional coordinates):
Pm1 0.194 0.000 0.350
Pm2 0.277 0.500 0.985
Pm3 0.723 0.500 0.015
Pm4 0.806 0.000 0.650
Si1 0.000 0.000 0.000
Sn1 0.387 0.500 0.668
Sn2 0.613 0.500 0.332